Entry 1:
KErPtO4: relaxed, PBE.

```
KErPtO4
1.0
-3.310 3.523 4.655
3.310 -3.523 4.655
3.310 3.523 -4.655
K Er Pt O
2 2 2 8
Direct
0.381 0.131 0.250
0.619 0.869 0.750
0.000 0.500 0.500
0.500 0.500 0.000
0.000 0.000 0.500
0.000 0.500 0.000
0.175 0.744 0.431
0.187 0.256 0.931
0.223 0.263 0.540
0.223 0.683 0.960
0.777 0.317 0.040
0.777 0.737 0.460
0.813 0.744 0.069
0.825 0.256 0.569
```

Properties
For the uncorrected formation energy, the calculation gives -1.7870 eV/atom. For the raw total energy, the calculation gives -6.292 eV per atom.


Entry 2:
KEr4Pt3O12: relaxed, PBE.

```
KEr4Pt3O12
1.0
-4.114 4.114 4.114
4.114 -4.114 4.114
4.114 4.114 -4.114
K Er Pt O
1 4 3 12
Direct
0.000 0.000 0.000
0.000 0.000 0.500
0.000 0.500 0.000
0.500 0.000 0.000
0.500 0.500 0.500
0.000 0.500 0.500
0.500 0.000 0.500
0.500 0.500 0.000
0.160 0.325 0.835
0.165 0.489 0.325
0.165 0.840 0.675
0.325 0.165 0.489
0.325 0.835 0.160
0.489 0.325 0.165
0.511 0.675 0.835
0.675 0.165 0.840
0.675 0.835 0.511
0.835 0.160 0.325
0.835 0.511 0.675
0.840 0.675 0.165
```

Properties
For the uncorrected formation energy, the calculation gives -2.0369 eV/atom. For the raw total energy, the calculation gives -6.885 eV per atom.


Entry 3:
KErPtO3: relaxed, PBE.

```
KErPtO3
1.0
6.681 0.000 0.000
0.000 3.329 0.000
-2.803 0.000 9.784
K Er Pt O
2 2 2 6
Direct
0.240 0.250 0.238
0.760 0.750 0.762
0.173 0.750 0.624
0.827 0.250 0.376
0.404 0.250 0.910
0.596 0.750 0.090
0.060 0.750 0.399
0.208 0.750 0.857
0.407 0.250 0.698
0.593 0.750 0.302
0.792 0.250 0.143
0.940 0.250 0.601
```

Properties
For the uncorrected formation energy, the calculation gives -1.7935 eV/atom. For the raw total energy, the calculation gives -6.223 eV per atom.


What is the raw total energy in the third record?
-6.223 eV per atom


Among the records above, which one has the lowest raw total energy?
KEr4Pt3O12